Entry from Alexandria: crystalline Si2TeBr at its relaxed geometry (PBE-GGA).

Values from the calculation:
DFT total energy: -14.4 eV/f.u.
symmetry: Cmm2 (35)
formation energy (no corrections): 1.2 eV per formula unit
spin magnetization: 0.0 Bohr magnetons per cell
Fermi-level density of states: 0.35 states/eV/atom
ΔE to the lowest computed polymorph: 361 meV per atom

abc: 3.718 3.718 9.135
angles: 90.00 90.00 120.14
Fractional coordinates of all 4 atoms:
1 Si 0.000 0.000 0.000
2 Si 0.500 0.500 0.177
3 Te 0.000 0.000 0.379
4 Br 0.500 0.500 0.797



Entry from Alexandria: crystalline SiTe2Br at its relaxed geometry (PBE-GGA).

Values from the calculation:
DFT total energy: -12.9 eV/f.u.
symmetry: I-42d (122)
formation energy (no corrections): 0.5 eV per formula unit
spin magnetization: 0.0 Bohr magnetons per cell
Fermi-level density of states: 1.23 states/eV/atom
ΔE to the lowest computed polymorph: 143 meV per atom

abc: 7.012 7.012 7.012
angles: 114.45 114.45 99.92
Fractional coordinates of all 8 atoms:
1 Si 0.000 0.000 0.000
2 Si 0.750 0.250 0.500
3 Te 0.055 0.125 0.430
4 Te 0.375 0.945 0.070
5 Te 0.695 0.625 0.570
6 Te 0.875 0.305 0.930
7 Br 0.250 0.750 0.500
8 Br 0.500 0.500 0.000



Entry from Alexandria: crystalline Si2TeBr at its relaxed geometry (PBE-GGA).

Values from the calculation:
DFT total energy: -13.4 eV/f.u.
symmetry: Pmmm (47)
formation energy (no corrections): 2.3 eV per formula unit
spin magnetization: 0.0 Bohr magnetons per cell
Fermi-level density of states: 0.38 states/eV/atom
ΔE to the lowest computed polymorph: 635 meV per atom

abc: 3.793 4.124 6.280
angles: 90.00 90.00 90.00
Fractional coordinates of all 4 atoms:
1 Si 0.000 0.000 0.000
2 Si 0.500 0.000 0.500
3 Te 0.000 0.500 0.500
4 Br 0.500 0.500 0.000